No. 1
Below is a relaxed structure of LiNiMo2, with properties calculated at the PBE level.

Values from the calculation:
- energy of formation (eV/atom) = 0.154
- spin magnetization (μB per formula unit) = 0.0

a b c (Å): 2.6538 2.6538 8.5292
angles (deg): 90.00 90.00 106.08
Closest atoms and distances in Å follow each position.
Fractional positions:
Li 0.0000 0.0000 0.0000  2 Ni 2.53, 4 Li 2.65
Ni 0.5000 0.5000 0.7693  2 Mo 2.50, 2 Li 2.53, 4 Ni 2.65
Mo 0.0000 0.0000 0.5433  2 Ni 2.50, 6 Mo 2.65-2.77
Mo 0.5000 0.5000 0.2781  6 Mo 2.65-2.77, 2 Li 2.86

***

No. 2
Below is a relaxed structure of LiNi2Mo, with properties calculated at the PBE level.

Values from the calculation:
- energy of formation (eV/atom) = 0.112
- spin magnetization (μB per formula unit) = 0.0

a b c (Å): 8.7034 8.7034 8.7034
angles (deg): 17.46 17.46 17.46
Closest atoms and distances in Å follow each position.
Fractional positions:
Li 0.0000 0.0000 0.0000  6 Ni 2.62, 6 Li 2.64
Ni 0.2506 0.2506 0.2506  3 Li 2.62, 6 Ni 2.64, 3 Mo 2.64
Ni 0.7494 0.7494 0.7494  3 Li 2.62, 6 Ni 2.64, 3 Mo 2.64
Mo 0.5000 0.5000 0.5000  6 Mo 2.64, 6 Ni 2.64

***

No. 3
Below is a relaxed structure of LiNiMo2, with properties calculated at the PBE level.

Values from the calculation:
- energy of formation (eV/atom) = 0.265
- spin magnetization (μB per formula unit) = 0.0

a b c (Å): 3.1702 3.1702 5.5450
angles (deg): 90.00 90.00 90.00
Closest atoms and distances in Å follow each position.
Fractional positions:
Li 0.0000 0.0000 0.0000  4 Ni 2.53, 5 Mo 2.68-2.71
Ni 0.5000 0.5000 0.7894  4 Li 2.53, 5 Mo 2.69-2.70
Mo 0.0000 0.0000 0.5172  4 Mo 2.62, 2 Li 2.68-2.87, 4 Ni 2.70
Mo 0.5000 0.5000 0.2739  4 Mo 2.62, 2 Ni 2.69-2.86, 4 Li 2.71

***

No. 4
Below is a relaxed structure of LiNiMo2, with properties calculated at the PBE level.

Values from the calculation:
- energy of formation (eV/atom) = 0.294
- spin magnetization (μB per formula unit) = 0.0

a b c (Å): 2.6065 2.6065 8.5421
angles (deg): 90.00 90.00 90.00
Closest atoms and distances in Å follow each position.
Fractional positions:
Li 0.0000 0.0000 0.0000  4 Li 2.61
Ni 0.0000 0.0000 0.5000  4 Ni 2.61, 8 Mo 2.66
Mo 0.5000 0.5000 0.2752  4 Mo 2.61, 4 Ni 2.66
Mo 0.5000 0.5000 0.7248  4 Mo 2.61, 4 Ni 2.66

***

No. 5
Below is a relaxed structure of LiNiMo2, with properties calculated at the PBE level.

Values from the calculation:
- energy of formation (eV/atom) = 0.439
- spin magnetization (μB per formula unit) = 0.0

a b c (Å): 4.5871 4.5871 2.5743
angles (deg): 90.00 90.00 90.00
Closest atoms and distances in Å follow each position.
Fractional positions:
Li 0.0000 0.0000 0.0000  2 Li 2.57, 8 Mo 2.63
Ni 0.5000 0.5000 0.0000  2 Ni 2.57, 8 Mo 2.63
Mo 0.0000 0.5000 0.5000  2 Mo 2.57, 4 Li 2.63, 4 Ni 2.63
Mo 0.5000 0.0000 0.5000  2 Mo 2.57, 4 Li 2.63, 4 Ni 2.63

***

No. 6
Below is a relaxed structure of Li2Ni6Mo, with properties calculated at the PBE level.

Values from the calculation:
- energy of formation (eV/atom) = 0.073
- spin magnetization (μB per formula unit) = 0.5

a b c (Å): 7.1919 7.1919 4.4694
angles (deg): 98.77 98.77 108.94
Closest atoms and distances in Å follow each position.
Fractional positions:
Li 0.1523 0.1561 0.3537  3 Li 2.24-2.50, 2 Ni 2.40-2.41
Li 0.1561 0.1523 0.8537  3 Li 2.24-2.50, 2 Ni 2.40-2.41
Li 0.8439 0.8477 0.1463  3 Li 2.24-2.50, 2 Ni 2.40-2.41
Li 0.8477 0.8439 0.6463  3 Li 2.24-2.50, 2 Ni 2.40-2.41
Ni 0.0577 0.4056 0.6479  7 Ni 2.29-2.53, 2 Li 2.40-2.41, 1 Mo 2.48
Ni 0.1301 0.7438 0.9613  7 Ni 2.39-2.53, 2 Li 2.61-2.65
Ni 0.2185 0.4896 0.2008  6 Ni 2.36-2.51, 2 Li 2.51-2.53, 1 Mo 2.55
Ni 0.2562 0.8699 0.5387  7 Ni 2.39-2.53, 2 Li 2.61-2.65
Ni 0.4056 0.0577 0.1479  7 Ni 2.29-2.53, 2 Li 2.40-2.41, 1 Mo 2.48
Ni 0.4896 0.2185 0.7008  6 Ni 2.36-2.51, 2 Li 2.51-2.53, 1 Mo 2.55
Ni 0.5104 0.7815 0.2992  6 Ni 2.36-2.51, 2 Li 2.51-2.53, 1 Mo 2.55
Ni 0.5944 0.9423 0.8521  7 Ni 2.29-2.53, 2 Li 2.40-2.41, 1 Mo 2.48
Ni 0.7438 0.1301 0.4613  7 Ni 2.39-2.53, 2 Li 2.61-2.65
Ni 0.7815 0.5104 0.7992  6 Ni 2.36-2.51, 2 Li 2.51-2.53, 1 Mo 2.55
Ni 0.8699 0.2562 0.0387  7 Ni 2.39-2.53, 2 Li 2.61-2.65
Ni 0.9423 0.5944 0.3521  7 Ni 2.29-2.53, 2 Li 2.40-2.41, 1 Mo 2.48
Mo 0.4287 0.5713 0.7500  8 Ni 2.48-2.72
Mo 0.5713 0.4287 0.2500  8 Ni 2.48-2.72

***

No. 7
Below is a relaxed structure of Li2Ni8Mo, with properties calculated at the PBE level.

Values from the calculation:
- energy of formation (eV/atom) = 0.173
- spin magnetization (μB per formula unit) = 1.3

a b c (Å): 5.9033 5.9033 3.7944
angles (deg): 90.00 90.00 104.05
Closest atoms and distances in Å follow each position.
Fractional positions:
Li 0.1155 0.8845 0.0000  1 Li 2.15, 4 Ni 2.22-2.39
Li 0.8845 0.1155 0.0000  1 Li 2.15, 4 Ni 2.22-2.39
Ni 0.1679 0.1679 0.5000  1 Mo 2.41, 7 Ni 2.44-2.56, 4 Li 2.50
Ni 0.1936 0.4631 0.0000  2 Li 2.39-2.64, 7 Ni 2.43-2.56, 2 Mo 2.59
Ni 0.2384 0.7617 0.5000  2 Li 2.22, 1 Mo 2.44
Ni 0.4631 0.1936 0.0000  2 Li 2.39-2.64, 7 Ni 2.43-2.56, 2 Mo 2.59
Ni 0.5369 0.8064 0.0000  2 Li 2.39-2.64, 7 Ni 2.43-2.56, 2 Mo 2.59
Ni 0.7617 0.2384 0.5000  2 Li 2.22, 1 Mo 2.44
Ni 0.8064 0.5369 0.0000  2 Li 2.39-2.64, 7 Ni 2.43-2.56, 2 Mo 2.59
Ni 0.8321 0.8321 0.5000  1 Mo 2.41, 7 Ni 2.44-2.56, 4 Li 2.50
Mo 0.5000 0.5000 0.5000  12 Ni 2.41-2.59

***

No. 8
Below is a relaxed structure of LiNi2Mo2, with properties calculated at the PBE level.

Values from the calculation:
- energy of formation (eV/atom) = 0.198
- spin magnetization (μB per formula unit) = 0.0

a b c (Å): 7.2924 7.2924 2.6455
angles (deg): 90.00 90.00 90.00
Closest atoms and distances in Å follow each position.
Fractional positions:
Li 0.0000 0.0000 0.0000  2 Li 2.65, 4 Ni 2.90
Li 0.5000 0.5000 0.0000  2 Li 2.65, 4 Ni 2.90
Ni 0.1205 0.3795 0.0000  3 Ni 2.49-2.65, 6 Mo 2.50-2.55
Ni 0.3795 0.8795 0.0000  3 Ni 2.49-2.65, 6 Mo 2.50-2.55
Ni 0.6205 0.1205 0.0000  3 Ni 2.49-2.65, 6 Mo 2.50-2.55
Ni 0.8795 0.6205 0.0000  3 Ni 2.49-2.65, 6 Mo 2.50-2.55
Mo 0.1734 0.6734 0.5000  6 Ni 2.50-2.55, 2 Mo 2.65
Mo 0.3266 0.1734 0.5000  6 Ni 2.50-2.55, 2 Mo 2.65
Mo 0.6734 0.8266 0.5000  6 Ni 2.50-2.55, 2 Mo 2.65
Mo 0.8266 0.3266 0.5000  6 Ni 2.50-2.55, 2 Mo 2.65

***

No. 9
Below is a relaxed structure of LiNi2Mo, with properties calculated at the PBE level.

Values from the calculation:
- energy of formation (eV/atom) = 0.210
- spin magnetization (μB per formula unit) = 0.0

a b c (Å): 4.3728 4.3728 4.7105
angles (deg): 97.49 97.49 34.02
Closest atoms and distances in Å follow each position.
Fractional positions:
Li 0.0000 0.0000 0.0000  6 Ni 2.55-2.58, 2 Li 2.56, 4 Mo 2.68
Ni 0.2521 0.2521 0.7488  3 Mo 2.52-2.60, 3 Li 2.55-2.58, 6 Ni 2.56-2.69
Ni 0.7479 0.7479 0.2512  3 Mo 2.52-2.60, 3 Li 2.55-2.58, 6 Ni 2.56-2.69
Mo 0.5000 0.5000 0.5000  6 Ni 2.52-2.60, 2 Mo 2.56, 4 Li 2.68

***

No. 10
Below is a relaxed structure of LiNi3Mo, with properties calculated at the PBE level.

Values from the calculation:
- energy of formation (eV/atom) = 1.077
- spin magnetization (μB per formula unit) = 0.0

a b c (Å): 4.5250 4.5250 4.5250
angles (deg): 90.00 90.00 90.00
Closest atoms and distances in Å follow each position.
Fractional positions:
Li 0.0000 0.0000 0.0000  12 Ni 3.20
Ni 0.0000 0.5000 0.5000  2 Mo 2.26
Ni 0.5000 0.0000 0.5000  2 Mo 2.26
Ni 0.5000 0.5000 0.0000  2 Mo 2.26
Mo 0.5000 0.5000 0.5000  6 Ni 2.26

***

No. 11
Below is a relaxed structure of LiNi2Mo, with properties calculated at the PBE level.

Values from the calculation:
- energy of formation (eV/atom) = 0.083
- spin magnetization (μB per formula unit) = 0.0

a b c (Å): 4.4175 4.4175 2.6115
angles (deg): 90.00 90.00 90.00
Closest atoms and distances in Å follow each position.
Fractional positions:
Li 0.0000 0.0000 0.0000  8 Ni 2.57, 2 Li 2.61
Ni 0.0000 0.5000 0.5000  4 Mo 2.57, 4 Li 2.57, 2 Ni 2.61
Ni 0.5000 0.0000 0.5000  4 Mo 2.57, 4 Li 2.57, 2 Ni 2.61
Mo 0.5000 0.5000 0.0000  8 Ni 2.57, 2 Mo 2.61

***

No. 12
Below is a relaxed structure of LiNiMo2, with properties calculated at the PBE level.

Values from the calculation:
- energy of formation (eV/atom) = 0.252
- spin magnetization (μB per formula unit) = 0.0

a b c (Å): 4.8402 4.8402 4.8402
angles (deg): 135.75 135.75 64.37
Closest atoms and distances in Å follow each position.
Fractional positions:
Li 0.0000 0.0000 0.0000  4 Ni 2.58, 8 Mo 2.74
Ni 0.5000 0.5000 0.0000  4 Li 2.58, 8 Mo 2.74
Mo 0.2500 0.7500 0.5000  4 Mo 2.58, 4 Li 2.74, 4 Ni 2.74
Mo 0.7500 0.2500 0.5000  4 Mo 2.58, 4 Li 2.74, 4 Ni 2.74

***

No. 13
Below is a relaxed structure of LiNi2Mo, with properties calculated at the PBE level.

Values from the calculation:
- energy of formation (eV/atom) = 0.079
- spin magnetization (μB per formula unit) = 0.0

a b c (Å): 2.5920 3.5775 5.3798
angles (deg): 90.00 90.00 90.00
Closest atoms and distances in Å follow each position.
Fractional positions:
Li 0.0000 0.0000 0.0000  8 Ni 2.58, 2 Li 2.59, 2 Mo 2.69
Ni 0.5000 0.5000 0.2472  4 Li 2.58, 4 Ni 2.59-2.72, 4 Mo 2.59
Ni 0.5000 0.5000 0.7528  4 Li 2.58, 4 Ni 2.59-2.72, 4 Mo 2.59
Mo 0.0000 0.0000 0.5000  2 Mo 2.59, 8 Ni 2.59, 2 Li 2.69

***

No. 14
Below is a relaxed structure of LiNiMo, with properties calculated at the PBE level.

Values from the calculation:
- energy of formation (eV/atom) = 0.198
- spin magnetization (μB per formula unit) = 0.0

a b c (Å): 6.1187 6.1187 6.1187
angles (deg): 155.06 155.06 35.56
Closest atoms and distances in Å follow each position.
Fractional positions:
Li 0.0000 0.0000 0.0000  4 Ni 2.56, 4 Li 2.64
Ni 0.6502 0.6502 0.0000  4 Li 2.56, 4 Mo 2.58, 4 Ni 2.64
Mo 0.3029 0.3029 0.0000  4 Ni 2.58, 4 Mo 2.64

***

No. 15
Below is a relaxed structure of LiNi2Mo, with properties calculated at the PBE level.

Values from the calculation:
- energy of formation (eV/atom) = 0.159
- spin magnetization (μB per formula unit) = 0.0

a b c (Å): 2.5485 3.9133 5.0256
angles (deg): 90.00 90.00 90.00
Closest atoms and distances in Å follow each position.
Fractional positions:
Li 0.0000 0.0000 0.0000  6 Ni 2.40-2.63, 2 Li 2.55
Ni 0.0000 0.0000 0.5230  2 Li 2.40-2.63, 2 Ni 2.55, 4 Mo 2.57
Ni 0.5000 0.5000 0.8048  2 Mo 2.50-2.53, 4 Li 2.53, 6 Ni 2.55-2.73
Mo 0.5000 0.5000 0.3082  6 Ni 2.50-2.57, 2 Mo 2.55

***

No. 16
Below is a relaxed structure of LiNi2Mo, with properties calculated at the PBE level.

Values from the calculation:
- energy of formation (eV/atom) = 0.204
- spin magnetization (μB per formula unit) = 0.0

a b c (Å): 4.0679 4.0679 4.0679
angles (deg): 60.00 60.00 60.00
Closest atoms and distances in Å follow each position.
Fractional positions:
Li 0.0000 0.0000 0.0000  4 Ni 2.49, 4 Mo 2.49
Ni 0.5000 0.5000 0.5000  4 Mo 2.49, 4 Ni 2.49
Ni 0.7500 0.7500 0.7500  4 Li 2.49, 4 Ni 2.49
Mo 0.2500 0.2500 0.2500  4 Li 2.49, 4 Ni 2.49

***

No. 17
Below is a relaxed structure of LiNi2Mo, with properties calculated at the PBE level.

Values from the calculation:
- energy of formation (eV/atom) = 0.179
- spin magnetization (μB per formula unit) = 0.0

a b c (Å): 4.4440 4.4440 4.4440
angles (deg): 131.49 131.49 71.04
Closest atoms and distances in Å follow each position.
Fractional positions:
Li 0.0000 0.0000 0.0000  4 Mo 2.57, 8 Ni 2.57-2.58
Ni 0.5000 0.5000 0.0000  4 Mo 2.57, 4 Ni 2.57, 4 Li 2.58
Ni 0.7500 0.2500 0.5000  4 Ni 2.57, 4 Li 2.57, 4 Mo 2.58
Mo 0.2500 0.7500 0.5000  8 Ni 2.57-2.58, 4 Li 2.57

***

No. 18
Below is a relaxed structure of LiNiMo, with properties calculated at the PBE level.

Values from the calculation:
- energy of formation (eV/atom) = 0.565
- spin magnetization (μB per formula unit) = 0.0

a b c (Å): 3.9516 3.9516 3.9516
angles (deg): 60.00 60.00 60.00
Closest atoms and distances in Å follow each position.
Fractional positions:
Li 0.0000 0.0000 0.0000  4 Ni 2.42
Ni 0.2500 0.2500 0.2500  4 Mo 2.42, 4 Li 2.42
Mo 0.5000 0.5000 0.5000  4 Ni 2.42

***

No. 19
Below is a relaxed structure of LiNiMo2, with properties calculated at the PBE level.

Values from the calculation:
- energy of formation (eV/atom) = 0.252
- spin magnetization (μB per formula unit) = 0.0

a b c (Å): 4.5915 4.5915 4.8933
angles (deg): 96.39 96.39 32.77
Closest atoms and distances in Å follow each position.
Fractional positions:
Li 0.0000 0.0000 0.0000  7 Mo 2.57-2.82, 2 Li 2.59, 3 Ni 2.63-2.65
Ni 0.7441 0.7441 0.2291  2 Ni 2.59, 7 Mo 2.61-2.87, 3 Li 2.63-2.65
Mo 0.2416 0.2416 0.7522  5 Mo 2.57-2.86, 3 Li 2.57-2.77, 4 Ni 2.67-2.87
Mo 0.4759 0.4759 0.4848  5 Mo 2.57-2.86, 3 Ni 2.61-2.80, 4 Li 2.73-2.82

***

No. 20
Below is a relaxed structure of LiNiMo2, with properties calculated at the PBE level.

Values from the calculation:
- energy of formation (eV/atom) = 0.349
- spin magnetization (μB per formula unit) = 0.0

a b c (Å): 4.2828 4.2828 4.2828
angles (deg): 60.00 60.00 60.00
Closest atoms and distances in Å follow each position.
Fractional positions:
Li 0.0000 0.0000 0.0000  4 Mo 2.62, 4 Ni 2.62
Ni 0.2500 0.2500 0.2500  4 Mo 2.62, 4 Li 2.62
Mo 0.5000 0.5000 0.5000  4 Mo 2.62, 4 Ni 2.62
Mo 0.7500 0.7500 0.7500  4 Mo 2.62, 4 Li 2.62